A relaxed structure of La2InGaGe. Source: the Alexandria database, functional PBE-GGA.

CIF file:
```
data_La2InGaGe
_chemical_formula_sum 'La2 In1 Ga1 Ge1'
_cell_length_a 5.8120
_cell_length_b 4.7324
_cell_length_c 5.8120
_cell_angle_alpha 90.00
_cell_angle_beta 90.00
_cell_angle_gamma 90.00
_space_group_name_H-M_alt 'P 1'
_space_group_IT_number 1
_space_group_name_Hall 'P 1'
loop_
_atom_site_label
_atom_site_fract_x
_atom_site_fract_y
_atom_site_fract_z
_atom_site_occupancy
Ge1 0.0000 0.0000 0.0000 1
In1 0.5000 0.5000 0.5000 1
Ga1 0.0000 0.5000 0.0000 1
La1 0.0000 0.0000 0.5000 1
La2 0.5000 0.0000 0.0000 1
```

Its space-group type is P4/mmm, No. 123. Its magnetization is 0.00 μB per formula unit. The polymorph energy (0 for the lowest one) is 377 meV per atom. The value obtained for the formation energy is -0.218 eV per atom.